{
  "formula": "LiMn2B2O6",
  "functional": "PBE+U",
  "state": "optimized geometry",
  "magnetic_moment_mub_per_fu": 9.0,
  "relative_energy_mev_per_atom": 4,
  "energy_ha_per_atom": -0.275,
  "spacegroup": "P1, No. 1",
  "dos_ef_per_ev_cell": 0.12,
  "lattice": [[5.292, 0.000, 0.000], [0.172, 6.219, 0.000], [0.718, 2.495, 15.173]],
  "species": ["Li", "Li", "Li", "Li", "Mn", "Mn", "Mn", "Mn", "Mn", "Mn", "Mn", "Mn", "B", "B", "B", "B", "B", "B", "B", "B", "O", "O", "O", "O", "O", "O", "O", "O", "O", "O", "O", "O", "O", "O", "O", "O", "O", "O", "O", "O", "O", "O", "O", "O"],
  "frac_coords": [[0.000, 0.000, 0.000], [0.001, 0.014, 0.499], [0.192, 0.724, 0.802], [0.500, 0.507, 0.251], [0.003, 0.297, 0.808], [0.004, 0.298, 0.313], [0.183, 0.431, 0.992], [0.200, 0.439, 0.494], [0.500, 0.794, 0.063], [0.507, 0.805, 0.562], [0.689, 0.935, 0.244], [0.693, 0.930, 0.740], [0.010, 0.624, 0.149], [0.023, 0.652, 0.646], [0.175, 0.083, 0.655], [0.176, 0.091, 0.157], [0.506, 0.106, 0.897], [0.513, 0.128, 0.397], [0.680, 0.620, 0.905], [0.685, 0.595, 0.409], [0.047, 0.188, 0.088], [0.050, 0.198, 0.588], [0.059, 0.014, 0.739], [0.067, 0.065, 0.244], [0.130, 0.707, 0.067], [0.138, 0.720, 0.562], [0.148, 0.537, 0.713], [0.152, 0.513, 0.215], [0.255, 0.166, 0.910], [0.257, 0.173, 0.410], [0.415, 0.991, 0.148], [0.426, 0.010, 0.644], [0.535, 0.718, 0.837], [0.552, 0.690, 0.340], [0.558, 0.566, 0.989], [0.582, 0.570, 0.497], [0.626, 0.158, 0.812], [0.631, 0.212, 0.315], [0.652, 0.009, 0.965], [0.657, 0.018, 0.462], [0.753, 0.667, 0.161], [0.772, 0.727, 0.657], [0.922, 0.494, 0.399], [0.932, 0.561, 0.891]]
}